(1)
Here is a geometry-optimized LuMgAgTeSe2 structure from OQMD. Energies are from PBE-GGA.

Cell: 7.0523 7.0523 11.0122 Å, 90.00 90.00 147.66°
Positions (direct):
1 Se 0.6406 0.3594 0.0659
2 Se 0.3594 0.6406 0.5659
3 Se 0.3594 0.6406 0.9341
4 Se 0.6406 0.3594 0.4341
5 Ag 0.4807 0.5193 0.7500
6 Ag 0.5193 0.4807 0.2500
7 Lu 0.0000 0.0000 0.0000
8 Lu 0.0000 0.0000 0.5000
9 Te 0.8738 0.1262 0.2500
10 Te 0.1262 0.8738 0.7500
11 Mg 0.2037 0.7963 0.2500
12 Mg 0.7963 0.2037 0.7500

Summary:
Total moment = 0.00 μB/f.u.
Calculated density = 6.72 g cm⁻³
DFT total energy = -4.12 eV/atom

---

(2)
Here is a geometry-optimized LuMgAgTe2Se structure from OQMD. Energies are from PBE-GGA.

Cell: 7.2514 7.2514 10.8309 Å, 90.00 90.00 147.13°
Positions (direct):
1 Mg 0.2549 0.7451 0.2500
2 Mg 0.7451 0.2549 0.7500
3 Lu 0.0000 0.0000 0.5000
4 Lu 0.0000 0.0000 0.0000
5 Ag 0.4829 0.5171 0.7500
6 Ag 0.5171 0.4829 0.2500
7 Te 0.6517 0.3483 0.4357
8 Te 0.3483 0.6517 0.9357
9 Te 0.6517 0.3483 0.0643
10 Te 0.3483 0.6517 0.5643
11 Se 0.1071 0.8929 0.7500
12 Se 0.8929 0.1071 0.2500

Summary:
Total moment = 0.01 μB/f.u.
Calculated density = 6.89 g cm⁻³
DFT total energy = -3.92 eV/atom

---

(3)
Here is a geometry-optimized Lu2AgMo structure from OQMD. Energies are from PBE-GGA.

Cell: 4.9034 4.9034 4.9034 Å, 60.00 60.00 60.00°
Positions (direct):
1 Mo 0.7500 0.7500 0.7500
2 Lu 0.2500 0.2500 0.2500
3 Lu 0.0000 0.0000 0.0000
4 Ag 0.5000 0.5000 0.5000

Summary:
Calculated formation energy = 1.58 eV per formula unit
Total moment = 0.90 μB/f.u.
Calculated density = 11.03 g cm⁻³
DFT total energy = -5.28 eV/atom

---

(4)
Here is a geometry-optimized NaLuAgSe3 structure from OQMD. Energies are from PBE-GGA.

Cell: 7.3268 7.3268 10.5355 Å, 90.00 90.00 148.76°
Positions (direct):
1 Se 0.1386 0.8614 0.4512
2 Se 0.5881 0.4119 0.7500
3 Se 0.8614 0.1386 0.9512
4 Se 0.4119 0.5881 0.2500
5 Se 0.8614 0.1386 0.5488
6 Se 0.1386 0.8614 0.0488
7 Na 0.2584 0.7416 0.7500
8 Na 0.7416 0.2584 0.2500
9 Lu 0.5000 0.5000 0.0000
10 Lu 0.5000 0.5000 0.5000
11 Ag 0.0352 0.9648 0.2500
12 Ag 0.9648 0.0352 0.7500

Summary:
Total moment = 0.04 μB/f.u.
Calculated density = 6.15 g cm⁻³
DFT total energy = -4.20 eV/atom

---

(5)
Here is a geometry-optimized NaLuAgTe3 structure from OQMD. Energies are from PBE-GGA.

Cell: 7.8755 7.8755 11.1215 Å, 90.00 90.00 149.58°
Positions (direct):
1 Te 0.9083 0.0917 0.2500
2 Te 0.6410 0.3590 0.4496
3 Te 0.6410 0.3590 0.0504
4 Te 0.3590 0.6410 0.5504
5 Te 0.3590 0.6410 0.9496
6 Te 0.0917 0.9083 0.7500
7 Ag 0.5333 0.4667 0.2500
8 Ag 0.4667 0.5333 0.7500
9 Lu 0.0000 0.0000 0.0000
10 Lu 0.0000 0.0000 0.5000
11 Na 0.7671 0.2329 0.7500
12 Na 0.2329 0.7671 0.2500

Summary:
Total moment = 0.01 μB/f.u.
Calculated density = 6.55 g cm⁻³
DFT total energy = -3.81 eV/atom

---

(6)
Here is a geometry-optimized LuNb2Ag structure from OQMD. Energies are from PBE-GGA.

Cell: 4.7953 4.7953 4.7953 Å, 60.00 60.00 60.00°
Positions (direct):
1 Ag 0.7500 0.7500 0.7500
2 Lu 0.0000 0.0000 0.0000
3 Nb 0.2500 0.2500 0.2500
4 Nb 0.5000 0.5000 0.5000

Summary:
Calculated formation energy = 0.82 eV per formula unit
Total moment = 0.00 μB/f.u.
Calculated density = 9.98 g cm⁻³
DFT total energy = -6.68 eV/atom

---

(7)
Here is a geometry-optimized LuNbAg structure from OQMD. Energies are from PBE-GGA.

Cell: 4.7244 4.7244 4.7244 Å, 60.00 60.00 60.00°
Positions (direct):
1 Ag 0.2500 0.2500 0.2500
2 Lu 0.0000 0.0000 0.0000
3 Nb 0.7500 0.7500 0.7500

Summary:
E above lowest polymorph = 0.434 eV per atom
Calculated formation energy = 3.27 eV per formula unit
Total moment = 2.96 μB/f.u.
Calculated density = 8.37 g cm⁻³
DFT total energy = -4.73 eV/atom

---

(8)
Here is a geometry-optimized LuNb2Ag structure from OQMD. Energies are from PBE-GGA.

Cell: 4.7950 4.7950 4.7950 Å, 60.00 60.00 60.00°
Positions (direct):
1 Ag 0.7500 0.7500 0.7500
2 Nb 0.0000 0.0000 0.0000
3 Nb 0.2500 0.2500 0.2500
4 Lu 0.5000 0.5000 0.5000

Summary:
Calculated formation energy = 0.82 eV per formula unit
Total moment = 0.00 μB/f.u.
Calculated density = 9.98 g cm⁻³
DFT total energy = -6.68 eV/atom

---

(9)
Here is a geometry-optimized LuNbAg structure from OQMD. Energies are from PBE-GGA.

Cell: 4.6535 4.6535 4.6535 Å, 60.00 60.00 60.00°
Positions (direct):
1 Ag 0.0000 0.0000 0.0000
2 Nb 0.7500 0.7500 0.7500
3 Lu 0.2500 0.2500 0.2500

Summary:
E above lowest polymorph = 0.000 eV per atom
Calculated formation energy = 1.96 eV per formula unit
Total moment = 1.19 μB/f.u.
Calculated density = 8.76 g cm⁻³
DFT total energy = -5.16 eV/atom

---

(10)
Here is a geometry-optimized LuNbAg2 structure from OQMD. Energies are from PBE-GGA.

Cell: 4.8149 4.8149 4.8149 Å, 60.00 60.00 60.00°
Positions (direct):
1 Ag 0.7500 0.7500 0.7500
2 Ag 0.0000 0.0000 0.0000
3 Lu 0.2500 0.2500 0.2500
4 Nb 0.5000 0.5000 0.5000

Summary:
Calculated formation energy = 1.27 eV per formula unit
Total moment = 2.12 μB/f.u.
Calculated density = 10.17 g cm⁻³
DFT total energy = -4.75 eV/atom

---

(11)
Here is a geometry-optimized NdLuAg2Pb2 structure from OQMD. Energies are from PBE-GGA.

Cell: 4.8236 4.8236 7.4917 Å, 90.00 90.00 120.00°
Positions (direct):
1 Nd 0.0000 0.0000 0.9908
2 Ag 0.3333 0.6667 0.6699
3 Ag 0.6667 0.3333 0.1923
4 Lu 0.0000 0.0000 0.4921
5 Pb 0.6667 0.3333 0.7649
6 Pb 0.3333 0.6667 0.2759

Summary:
Total moment = 0.00 μB/f.u.
Calculated density = 10.44 g cm⁻³
DFT total energy = -4.12 eV/atom

---

(12)
Here is a geometry-optimized Lu2NiAg structure from OQMD. Energies are from PBE-GGA.

Cell: 4.4315 4.4315 4.4315 Å, 60.00 60.00 60.00°
Positions (direct):
1 Ni 0.0000 0.0000 0.0000
2 Lu 0.2500 0.2500 0.2500
3 Lu 0.5000 0.5000 0.5000
4 Ag 0.7500 0.7500 0.7500

Summary:
Calculated formation energy = 0.85 eV per formula unit
Total moment = 0.00 μB/f.u.
Calculated density = 13.94 g cm⁻³
DFT total energy = -4.15 eV/atom